# 1
Ac4Ag3Ge5, optimized geometry, DFT PBE; space group = C2/m, No. 12; formation enthalpy at 0 K = -0.329 eV per atom
1.0
4.721 0.000 0.000
2.360 7.801 -0.369
2.360 2.205 9.788
Ge Ag Ac
5 3 4
Cartesian
4.721 5.003 4.709
2.360 0.415 1.215
2.360 2.838 1.086
7.081 7.168 8.332
7.081 9.591 8.204
4.721 2.971 6.305
4.721 7.034 3.114
2.360 5.003 4.709
4.721 2.146 3.133
4.721 7.860 6.286
7.081 4.179 8.765
2.360 5.826 0.653

=====

# 2
CeSmPu2N4, optimized geometry, DFT PBE; raw total energy = -0.3829 hartree per atom; space group = P2/m, No. 10
1.0
3.526 0.000 0.000
0.000 6.116 0.075
0.000 -2.166 5.701
N Sm Ce Pu
4 1 1 2
Cartesian
1.763 0.994 1.513
1.763 2.956 4.263
0.000 -0.137 4.193
0.000 4.087 1.582
1.763 3.058 0.037
0.000 0.000 0.000
0.000 1.975 2.888
1.763 -1.083 2.851

=====

# 3
LaPuOs, optimized geometry, DFT PBE; space group = P3m1, No. 156; formation enthalpy at 0 K = 0.143 eV per atom
1.0
3.347 0.000 0.000
0.000 4.826 0.000
0.000 -2.413 4.180
Os La Pu
1 1 1
Cartesian
0.149 0.000 0.000
2.220 0.000 2.786
0.978 2.413 1.393

=====

# 4
Ag4OsRu, optimized geometry, DFT PBE; space group = F-43m, No. 216; formation enthalpy at 0 K = 1.012 eV per atom
1.0
0.000 3.722 3.722
3.722 0.000 3.722
3.722 3.722 0.000
Os Ag Ru
1 4 1
Cartesian
5.583 5.583 5.583
4.652 2.792 4.652
4.652 4.652 2.792
2.792 4.652 4.652
2.792 2.792 2.792
0.000 0.000 0.000

=====

# 5
HIF2, optimized geometry, DFT PBE; raw total energy = -0.1107 hartree per atom; space group = R-3m, No. 166
1.0
-3.924 -5.238 1.601
-1.640 -5.087 4.103
-4.347 -3.044 4.152
F I H
2 1 1
Cartesian
-9.323 -12.574 9.271
-0.589 -0.794 0.586
-4.956 -6.684 4.928
0.000 0.000 0.000

=====

# 6
LiNdCdPb, optimized geometry, DFT PBE; space group = F-43m, No. 216; formation enthalpy at 0 K = -0.378 eV per atom
1.0
-4.199 -3.059 -0.912
0.661 -4.939 -1.727
-1.040 -4.070 3.189
Pb Cd Nd Li
1 1 1 1
Cartesian
-1.145 -3.017 0.138
-3.434 -9.051 0.413
-2.289 -6.034 0.275
0.000 0.000 0.000

=====

The records above give, respectively, magnetization values of 0.00, 0.21, 5.28, 3.00, 1.18, 0.00 μB/f.u..
The records above give, respectively, density values of 7.27, 11.22, 14.10, 11.64, 4.29, 7.54 g cm⁻³.
The records above give, respectively, DOS at the Fermi energy values of 4.93, 15.07, 6.95, 6.91, 1.57, 1.51 states/eV/f.u..